Entry 1:
This record from OQMD via LeMat-Bulk describes a relaxed structure of TlAg. The functional is PBE.

Output
Electronic total energy   -2.1527 eV per atom

Geometry as extended XYZ:
```
8
Lattice="6.476 0.000 0.000 0.000 6.476 0.000 0.000 0.000 6.476" Properties=species:S:1:pos:R:3 pbc="T T T"
Tl 0.000 0.000 0.000
Tl 0.000 3.238 3.238
Tl 3.238 0.000 3.238
Tl 3.238 3.238 0.000
Ag 1.619 1.619 1.619
Ag 1.619 4.857 4.857
Ag 4.857 1.619 4.857
Ag 4.857 4.857 1.619
```

***

Entry 2:
This record from OQMD via LeMat-Bulk describes a relaxed structure of LiYGaPd. The functional is PBE.

Output
Distance to the lowest polymorph of the same formula   0.331 eV per formula unit
Total moment   0.002 μB per formula unit
Electronic total energy   -4.6778 eV per atom

Geometry as extended XYZ:
```
16
Lattice="6.733 0.000 0.000 0.000 6.733 0.000 0.000 0.000 6.733" Properties=species:S:1:pos:R:3 pbc="T T T"
Li 0.000 0.000 0.000
Li 0.000 3.367 3.367
Li 3.367 0.000 3.367
Li 3.367 3.367 0.000
Y 0.000 0.000 3.367
Y 0.000 3.367 0.000
Y 3.367 0.000 0.000
Y 3.367 3.367 3.367
Ga 1.683 1.683 1.683
Ga 1.683 5.050 5.050
Ga 5.050 1.683 5.050
Ga 5.050 5.050 1.683
Pd 1.683 1.683 5.050
Pd 1.683 5.050 1.683
Pd 5.050 1.683 1.683
Pd 5.050 5.050 5.050
```

***

Entry 3:
This record from OQMD via LeMat-Bulk describes a relaxed structure of LaReHN2. The functional is PBE.

Output
Total moment   0.001 μB per formula unit
Electronic total energy   -8.1940 eV per atom

Geometry as extended XYZ:
```
5
Lattice="3.985 0.000 0.000 0.000 3.985 0.000 0.000 0.000 3.734" Properties=species:S:1:pos:R:3 pbc="T T T"
La 0.000 0.000 0.000
Re 1.993 1.993 1.867
H 1.993 1.993 0.000
N 0.000 1.993 1.867
N 1.993 0.000 1.867
```

***

Entry 4:
This record from OQMD via LeMat-Bulk describes a relaxed structure of TmSb2Br2O3. The functional is PBE.

Output
Total moment   0.002 μB per formula unit
Electronic total energy   -5.5069 eV per atom

Geometry as extended XYZ:
```
16
Lattice="5.686 0.000 0.000 1.430 7.633 0.000 0.949 0.037 8.206" Properties=species:S:1:pos:R:3 pbc="T T T"
Tm 1.058 3.640 2.355
Tm 7.006 4.030 5.851
Sb 3.696 5.675 4.327
Sb 4.295 5.463 7.969
Sb 3.769 2.208 0.237
Sb 4.368 1.996 3.878
Br 1.952 1.475 6.561
Br 1.910 0.923 2.139
Br 6.154 6.748 6.067
Br 6.113 6.195 1.645
O 2.565 4.034 3.904
O 3.272 5.024 6.274
O 2.436 3.727 0.632
O 5.629 3.944 7.573
O 4.793 2.646 1.932
O 5.500 3.637 4.302
```

***

Entry 5:
This record from OQMD via LeMat-Bulk describes a relaxed structure of GdFeMo. The functional is PBE.

Output
Energy relative to the elements   0.61 eV per atom
Total moment   0.000 μB per formula unit
Electronic total energy   -7.3302 eV per atom

Geometry as extended XYZ:
```
12
Lattice="6.162 0.000 0.000 0.000 6.162 0.000 0.000 0.000 6.162" Properties=species:S:1:pos:R:3 pbc="T T T"
Gd 0.000 0.000 0.000
Gd 0.000 3.081 3.081
Gd 3.081 0.000 3.081
Gd 3.081 3.081 0.000
Fe 1.541 1.541 1.541
Fe 1.541 4.622 4.622
Fe 4.622 1.541 4.622
Fe 4.622 4.622 1.541
Mo 0.000 0.000 3.081
Mo 0.000 3.081 0.000
Mo 3.081 0.000 0.000
Mo 3.081 3.081 3.081
```

***

Entry 6:
This record from OQMD via LeMat-Bulk describes a relaxed structure of TbTmAg2Te4. The functional is PBE.

Output
Total moment   0.002 μB per formula unit
Electronic total energy   -4.3226 eV per atom

Geometry as extended XYZ:
```
16
Lattice="10.030 0.000 0.000 0.000 10.056 0.000 0.000 0.000 4.705" Properties=species:S:1:pos:R:3 pbc="T T T"
Tb 0.000 0.000 0.000
Tb 5.015 5.028 0.000
Tm 0.000 5.028 1.841
Tm 5.015 0.000 1.841
Ag 2.507 2.514 0.917
Ag 2.507 7.542 0.917
Ag 7.522 2.514 0.917
Ag 7.522 7.542 0.917
Te 0.000 2.050 2.283
Te 0.000 8.006 2.283
Te 1.995 5.028 4.266
Te 3.020 0.000 4.266
Te 5.015 2.978 2.283
Te 5.015 7.077 2.283
Te 7.009 0.000 4.266
Te 8.035 5.028 4.266
```

***

Entry 7:
This record from OQMD via LeMat-Bulk describes a relaxed structure of LaSmI2BrN. The functional is PBE.

Output
Distance to the lowest polymorph of the same formula   0.075 eV per formula unit
Total moment   0.004 μB per formula unit
Electronic total energy   -5.4352 eV per atom

Geometry as extended XYZ:
```
12
Lattice="9.878 -2.058 0.000 9.878 2.058 0.000 -7.198 0.000 10.053" Properties=species:S:1:pos:R:3 pbc="T T T"
La 0.625 0.000 2.861
La 11.932 0.000 7.193
Sm 8.195 0.000 0.387
Sm 4.362 0.000 9.666
I -4.548 0.000 7.433
I 3.486 0.000 1.246
I 9.071 0.000 8.807
I 17.105 0.000 2.620
Br 2.928 0.000 4.984
Br 9.629 0.000 5.070
N 2.335 0.000 8.546
N 10.222 0.000 1.507
```

***

Entry 8:
This record from OQMD via LeMat-Bulk describes a relaxed structure of ScGa2CuPd4. The functional is PBE.

Output
Total moment   0.000 μB per formula unit
Electronic total energy   -5.2568 eV per atom

Geometry as extended XYZ:
```
8
Lattice="4.417 0.000 0.000 0.000 4.417 0.000 0.000 0.000 6.253" Properties=species:S:1:pos:R:3 pbc="T T T"
Sc 0.000 0.000 0.000
Ga 0.000 0.000 3.126
Ga 2.208 2.208 0.000
Cu 2.208 2.208 3.126
Pd 0.000 2.208 1.622
Pd 0.000 2.208 4.630
Pd 2.208 0.000 1.622
Pd 2.208 0.000 4.630
```